(1)
Density functional theory data (PBE-GGA) for an optimized crystal structure of RbCd7.

Cell lengths 12.353, 8.367, 4.655 Å; angles 90.00, 111.93, 90.00 degrees
Sites, in units of the cell vectors:
Rb 0.000 0.000 0.000
Rb 0.500 0.500 0.000
Cd 0.000 0.500 0.000
Cd 0.139 0.316 0.638
Cd 0.139 0.684 0.638
Cd 0.244 0.000 0.745
Cd 0.256 0.500 0.255
Cd 0.361 0.184 0.362
Cd 0.361 0.816 0.362
Cd 0.500 0.000 0.000
Cd 0.639 0.184 0.638
Cd 0.639 0.816 0.638
Cd 0.744 0.500 0.745
Cd 0.756 0.000 0.255
Cd 0.861 0.316 0.362
Cd 0.861 0.684 0.362

Output
- Energy of formation from the pure elements: -0.029 eV per atom
- Energy: -0.95 eV/atom

***

(2)
Density functional theory data (PBE-GGA) for an optimized crystal structure of Th2Pd5Pt.

Cell lengths 5.976, 11.973, 4.223 Å; angles 90.00, 90.00, 90.00 degrees
Sites, in units of the cell vectors:
Th 0.246 0.124 0.000
Th 0.254 0.624 0.000
Th 0.746 0.376 0.000
Th 0.754 0.876 0.000
Pd 0.000 0.500 0.500
Pd 0.005 0.751 0.500
Pd 0.245 0.374 0.000
Pd 0.255 0.874 0.000
Pd 0.495 0.251 0.500
Pd 0.500 0.000 0.500
Pd 0.505 0.749 0.500
Pd 0.745 0.126 0.000
Pd 0.755 0.626 0.000
Pd 0.995 0.249 0.500
Pt 0.000 0.000 0.500
Pt 0.500 0.500 0.500

Output
- Energy of formation from the pure elements: -0.948 eV per atom
- Energy: -6.80 eV/atom

***

(3)
Density functional theory data (PBE-GGA) for an optimized crystal structure of TeWI2Cl.

Cell lengths 5.475, 5.475, 5.234 Å; angles 90.00, 90.00, 90.00 degrees
Sites, in units of the cell vectors:
Te 0.000 0.000 0.000
W 0.000 0.000 0.500
I 0.000 0.500 0.500
I 0.500 0.000 0.500
Cl 0.500 0.500 0.000

Output
- Raw formation energy: 407 meV per atom
- ΔE to the lowest computed polymorph: 0.000 eV per atom
- Energy: -3.80 eV/atom

***

(4)
Density functional theory data (PBE-GGA) for an optimized crystal structure of Hf2Ti2In.

Cell lengths 7.274, 7.274, 3.845 Å; angles 90.00, 90.00, 90.00 degrees
Sites, in units of the cell vectors:
Hf 0.163 0.337 0.000
Hf 0.337 0.837 0.000
Hf 0.663 0.163 0.000
Hf 0.837 0.663 0.000
Ti 0.131 0.631 0.500
Ti 0.369 0.131 0.500
Ti 0.631 0.869 0.500
Ti 0.869 0.369 0.500
In 0.000 0.000 0.500
In 0.500 0.500 0.500

Output
- Energy of formation from the pure elements: -0.017 eV per atom
- ΔE to the lowest computed polymorph: 0.000 eV per atom
- Energy: -7.70 eV/atom

***

(5)
Density functional theory data (PBE-GGA) for an optimized crystal structure of AcDy2Al.

Cell lengths 5.094, 5.094, 17.776 Å; angles 90.00, 90.00, 120.00 degrees
Sites, in units of the cell vectors:
Ac 0.000 0.000 0.000
Ac 0.333 0.667 0.667
Ac 0.667 0.333 0.333
Dy 0.000 0.000 0.212
Dy 0.000 0.000 0.449
Dy 0.333 0.667 0.116
Dy 0.333 0.667 0.879
Dy 0.667 0.333 0.545
Dy 0.667 0.333 0.782
Al 0.000 0.000 0.805
Al 0.333 0.667 0.471
Al 0.667 0.333 0.138

Output
- Energy of formation from the pure elements: 0.023 eV per atom
- ΔE to the lowest computed polymorph: 0.176 eV per atom
- Energy: -4.24 eV/atom

***

(6)
Density functional theory data (PBE-GGA) for an optimized crystal structure of Y6GaHg5.

Cell lengths 9.085, 9.085, 9.085 Å; angles 146.51, 131.69, 60.06 degrees
Sites, in units of the cell vectors:
Y 0.082 0.336 0.746
Y 0.242 0.000 0.242
Y 0.410 0.664 0.746
Y 0.590 0.336 0.254
Y 0.758 0.000 0.758
Y 0.918 0.664 0.254
Ga 0.000 0.500 0.500
Hg 0.170 0.170 0.000
Hg 0.334 0.834 0.500
Hg 0.500 0.500 0.000
Hg 0.666 0.166 0.500
Hg 0.830 0.830 0.000

Output
- Energy of formation from the pure elements: -0.523 eV per atom
- Energy: -4.13 eV/atom

***

(7)
Density functional theory data (PBE-GGA) for an optimized crystal structure of CuPN2O.

Cell lengths 3.513, 3.513, 3.427 Å; angles 90.00, 90.00, 90.00 degrees
Sites, in units of the cell vectors:
Cu 0.000 0.000 0.000
P 0.500 0.500 0.500
N 0.000 0.500 0.500
N 0.500 0.000 0.500
O 0.500 0.500 0.000

Output
- Raw formation energy: 580 meV per atom
- Energy: -5.64 eV/atom

***

(8)
Density functional theory data (PBE-GGA) for an optimized crystal structure of Br2ClF6.

Cell lengths 8.301, 8.301, 5.437 Å; angles 101.28, 101.28, 98.32 degrees
Sites, in units of the cell vectors:
Br 0.128 0.359 0.297
Br 0.359 0.128 0.797
Br 0.641 0.872 0.203
Br 0.872 0.641 0.703
Cl 0.007 0.993 0.750
Cl 0.993 0.007 0.250
F 0.075 0.570 0.779
F 0.233 0.568 0.343
F 0.294 0.335 0.857
F 0.335 0.294 0.357
F 0.430 0.925 0.721
F 0.432 0.767 0.157
F 0.568 0.233 0.843
F 0.570 0.075 0.279
F 0.665 0.706 0.643
F 0.706 0.665 0.143
F 0.767 0.432 0.657
F 0.925 0.430 0.221

Output
- Raw formation energy: -702 meV per atom
- Energy: -2.53 eV/atom

***

(9)
Density functional theory data (PBE-GGA) for an optimized crystal structure of YMn4Fe8.

Cell lengths 6.315, 6.315, 6.315 Å; angles 98.02, 98.02, 136.14 degrees
Sites, in units of the cell vectors:
Y 0.000 0.000 0.000
Mn 0.000 0.000 0.500
Mn 0.000 0.500 0.000
Mn 0.500 0.000 0.000
Mn 0.500 0.500 0.500
Fe 0.000 0.360 0.360
Fe 0.000 0.640 0.640
Fe 0.276 0.500 0.776
Fe 0.360 0.000 0.360
Fe 0.500 0.276 0.776
Fe 0.500 0.724 0.224
Fe 0.640 0.000 0.640
Fe 0.724 0.500 0.224

Output
- Energy of formation from the pure elements: 0.046 eV per atom
- Energy: -8.48 eV/atom

***

(10)
Density functional theory data (PBE-GGA) for an optimized crystal structure of BeOs2Rh.

Cell lengths 2.700, 3.954, 5.056 Å; angles 90.00, 103.34, 90.00 degrees
Sites, in units of the cell vectors:
Be 0.000 0.000 0.000
Os 0.369 0.500 0.228
Os 0.631 0.500 0.772
Rh 0.000 0.000 0.500

Output
- Energy of formation from the pure elements: 0.099 eV per atom
- Energy: -8.29 eV/atom

***

(11)
Density functional theory data (PBE-GGA) for an optimized crystal structure of Al2Co2C.

Cell lengths 5.464, 5.464, 3.955 Å; angles 90.00, 90.00, 90.00 degrees
Sites, in units of the cell vectors:
Al 0.165 0.335 0.000
Al 0.335 0.835 0.000
Al 0.665 0.165 0.000
Al 0.835 0.665 0.000
Co 0.150 0.650 0.500
Co 0.350 0.150 0.500
Co 0.650 0.850 0.500
Co 0.850 0.350 0.500
C 0.000 0.000 0.000
C 0.500 0.500 0.000

Output
- Energy of formation from the pure elements: 0.482 eV per atom
- ΔE to the lowest computed polymorph: 0.000 eV per atom
- Energy: -5.70 eV/atom

***

(12)
Density functional theory data (PBE-GGA) for an optimized crystal structure of TaTiMnRe.

Cell lengths 3.117, 4.330, 4.437 Å; angles 90.00, 90.00, 90.00 degrees
Sites, in units of the cell vectors:
Ta 0.000 0.000 0.000
Ti 0.000 0.500 0.500
Mn 0.500 0.500 0.000
Re 0.500 0.000 0.500

Output
- Energy of formation from the pure elements: -0.323 eV per atom
- ΔE to the lowest computed polymorph: 0.017 eV per atom
- Energy: -10.66 eV/atom

***

| no. | total magnetization (μB/cell) |
| --- | --- |
| 1 | 0.0 |
| 2 | 0.0 |
| 3 | 0.3 |
| 4 | 0.0 |
| 5 | 0.0 |
| 6 | 0.0 |
| 7 | 0.0 |
| 8 | 0.0 |
| 9 | 11.4 |
| 10 | 0.0 |
| 11 | 4.0 |
| 12 | 0.3 |